Record 1
An optimized crystal structure of Nd2GaBRh6. Source: Alexandria via LeMat-Bulk, functional PBE-GGA.

The structure in CIF format:
```
data_Nd2GaBRh6
_chemical_formula_sum 'Nd8 Ga4 B4 Rh24'
_symmetry_space_group_name_H-M 'F m -3 m'
_symmetry_Int_Tables_number 225
_symmetry_space_group_name_Hall '-F 4 2 3'
_cell_length_a 8.861
_cell_length_b 8.861
_cell_length_c 8.861
_cell_angle_alpha 90.00
_cell_angle_beta 90.00
_cell_angle_gamma 90.00
loop_
_atom_site_label
_atom_site_type_symbol
_atom_site_fract_x
_atom_site_fract_y
_atom_site_fract_z
Nd1 Nd 0.250 0.250 0.250
Ga1 Ga 0.000 0.000 0.000
B1 B 0.000 0.000 0.500
Rh1 Rh 0.000 0.000 0.268
```

Energy of formation: -0.5508 eV per atom
E: -6.8856 eV/atom
Fermi-level density of states: 37.38 states/eV per cell

=====

Record 2
An optimized crystal structure of Nd2GaB3Rh12. Source: Alexandria via LeMat-Bulk, functional PBE-GGA.

The structure in CIF format:
```
data_Nd2GaB3Rh12
_chemical_formula_sum 'Nd6 Ga3 B9 Rh36'
_symmetry_space_group_name_H-M 'R -3 m'
_symmetry_Int_Tables_number 166
_symmetry_space_group_name_Hall '-R 3 2"'
_cell_length_a 7.5800
_cell_length_b 7.5800
_cell_length_c 16.9376
_cell_angle_alpha 90.00
_cell_angle_beta 90.00
_cell_angle_gamma 120.00
loop_
_atom_site_label
_atom_site_type_symbol
_atom_site_fract_x
_atom_site_fract_y
_atom_site_fract_z
Nd1 Nd 0.0000 0.0000 0.0913
Ga1 Ga 0.0000 0.0000 0.5000
B1 B 0.0000 0.5000 0.0000
Rh1 Rh 0.0543 0.5272 0.8771
Rh2 Rh 0.0734 0.5367 0.3057
```

Energy of formation: -0.1713 eV per atom
E: -6.8831 eV/atom
Fermi-level density of states: 50.31 states/eV per cell

=====

Record 3
An optimized crystal structure of Nd2Ga2BRu2. Source: Alexandria via LeMat-Bulk, functional PBE-GGA.

The structure in CIF format:
```
data_Nd2Ga2BRu2
_chemical_formula_sum 'Nd4 Ga4 B2 Ru4'
_symmetry_space_group_name_H-M 'C 1 2/m 1'
_symmetry_Int_Tables_number 12
_symmetry_space_group_name_Hall '-C 2y'
_cell_length_a 11.251
_cell_length_b 4.273
_cell_length_c 7.342
_cell_angle_alpha 90.00
_cell_angle_beta 129.50
_cell_angle_gamma 90.00
loop_
_atom_site_label
_atom_site_type_symbol
_atom_site_fract_x
_atom_site_fract_y
_atom_site_fract_z
Nd1 Nd 0.063 0.000 0.298
Ga1 Ga 0.155 0.500 0.702
B1 B 0.000 0.500 0.000
Ru1 Ru 0.206 0.500 0.092
```

Energy of formation: -0.5295 eV per atom
E: -6.3607 eV/atom
Fermi-level density of states: 9.83 states/eV per cell

=====

Record 4
An optimized crystal structure of Nd2GaB2Ru5. Source: Alexandria via LeMat-Bulk, functional PBE-GGA.

The structure in CIF format:
```
data_Nd2GaB2Ru5
_chemical_formula_sum 'Nd4 Ga2 B4 Ru10'
_symmetry_space_group_name_H-M 'P 4/m b m'
_symmetry_Int_Tables_number 127
_symmetry_space_group_name_Hall '-P 4 2ab'
_cell_length_a 9.725
_cell_length_b 9.725
_cell_length_c 3.164
_cell_angle_alpha 90.00
_cell_angle_beta 90.00
_cell_angle_gamma 90.00
loop_
_atom_site_label
_atom_site_type_symbol
_atom_site_fract_x
_atom_site_fract_y
_atom_site_fract_z
Nd1 Nd 0.177 0.323 0.000
Ga1 Ga 0.000 0.000 0.000
B1 B 0.123 0.623 0.000
Ru1 Ru 0.000 0.500 0.500
Ru2 Ru 0.069 0.779 0.500
```

Energy of formation: -0.3058 eV per atom
E: -7.5355 eV/atom
Fermi-level density of states: 19.73 states/eV per cell

=====

Record 5
An optimized crystal structure of NdGa2Tc2B. Source: Alexandria via LeMat-Bulk, functional PBE-GGA.

The structure in CIF format:
```
data_NdGa2Tc2B
_chemical_formula_sum 'Nd1 Ga2 Tc2 B1'
_symmetry_space_group_name_H-M 'P 4/m m m'
_symmetry_Int_Tables_number 123
_symmetry_space_group_name_Hall '-P 4 2'
_cell_length_a 4.247
_cell_length_b 4.247
_cell_length_c 5.596
_cell_angle_alpha 90.00
_cell_angle_beta 90.00
_cell_angle_gamma 90.00
loop_
_atom_site_label
_atom_site_type_symbol
_atom_site_fract_x
_atom_site_fract_y
_atom_site_fract_z
Nd1 Nd 0.000 0.000 0.000
Ga1 Ga 0.500 0.500 0.229
Tc1 Tc 0.000 0.500 0.500
B1 B 0.000 0.000 0.500
```

Energy of formation: -0.4724 eV per atom
E: -6.8443 eV/atom
Fermi-level density of states: 3.35 states/eV per cell

=====

Record 6
An optimized crystal structure of Ga2Ni4B. Source: Alexandria via LeMat-Bulk, functional PBE-GGA.

The structure in CIF format:
```
data_Ga2Ni4B
_chemical_formula_sum 'Ga4 Ni8 B2'
_symmetry_space_group_name_H-M 'I 4/m m m'
_symmetry_Int_Tables_number 139
_symmetry_space_group_name_Hall '-I 4 2'
_cell_length_a 3.762
_cell_length_b 3.762
_cell_length_c 12.238
_cell_angle_alpha 90.00
_cell_angle_beta 90.00
_cell_angle_gamma 90.00
loop_
_atom_site_label
_atom_site_type_symbol
_atom_site_fract_x
_atom_site_fract_y
_atom_site_fract_z
Ga1 Ga 0.000 0.000 0.143
Ni1 Ni 0.000 0.000 0.338
Ni2 Ni 0.000 0.500 0.000
B1 B 0.000 0.000 0.500
```

Energy of formation: -0.1252 eV per atom
E: -5.2476 eV/atom
Fermi-level density of states: 8.82 states/eV per cell

=====

Record 7
An optimized crystal structure of GaNi7B5. Source: Alexandria via LeMat-Bulk, functional PBE-GGA.

The structure in CIF format:
```
data_GaNi7B5
_chemical_formula_sum 'Ga2 Ni14 B10'
_symmetry_space_group_name_H-M 'I m m 2'
_symmetry_Int_Tables_number 44
_symmetry_space_group_name_Hall 'I 2 -2'
_cell_length_a 4.141
_cell_length_b 7.308
_cell_length_c 7.754
_cell_angle_alpha 90.00
_cell_angle_beta 90.00
_cell_angle_gamma 90.00
loop_
_atom_site_label
_atom_site_type_symbol
_atom_site_fract_x
_atom_site_fract_y
_atom_site_fract_z
Ga1 Ga 0.000 0.000 0.000
Ni1 Ni 0.000 0.000 0.358
Ni2 Ni 0.000 0.000 0.673
Ni3 Ni 0.000 0.328 0.589
Ni4 Ni 0.000 0.336 0.022
Ni5 Ni 0.000 0.500 0.317
B1 B 0.000 0.500 0.801
B2 B 0.236 0.253 0.300
```

Energy of formation: -0.0361 eV per atom
E: -5.9502 eV/atom
Fermi-level density of states: 17.44 states/eV per cell

=====

Record 8
An optimized crystal structure of GaNi8B2. Source: Alexandria via LeMat-Bulk, functional PBE-GGA.

The structure in CIF format:
```
data_GaNi8B2
_chemical_formula_sum 'Ga2 Ni16 B4'
_symmetry_space_group_name_H-M 'C 1 2/m 1'
_symmetry_Int_Tables_number 12
_symmetry_space_group_name_Hall '-C 2y'
_cell_length_a 6.343
_cell_length_b 9.363
_cell_length_c 3.951
_cell_angle_alpha 90.00
_cell_angle_beta 104.91
_cell_angle_gamma 90.00
loop_
_atom_site_label
_atom_site_type_symbol
_atom_site_fract_x
_atom_site_fract_y
_atom_site_fract_z
Ga1 Ga 0.000 0.000 0.000
Ni1 Ni 0.000 0.254 0.000
Ni2 Ni 0.105 0.500 0.797
Ni3 Ni 0.201 0.131 0.587
B1 B 0.000 0.315 0.500
```

Energy of formation: -0.2304 eV per atom
E: -5.9243 eV/atom
Fermi-level density of states: 18.09 states/eV per cell

=====

Record 9
An optimized crystal structure of GaNi2B. Source: Alexandria via LeMat-Bulk, functional PBE-GGA.

The structure in CIF format:
```
data_GaNi2B
_chemical_formula_sum 'Ga1 Ni2 B1'
_symmetry_space_group_name_H-M 'P 4/m m m'
_symmetry_Int_Tables_number 123
_symmetry_space_group_name_Hall '-P 4 2'
_cell_length_a 3.596
_cell_length_b 3.596
_cell_length_c 3.178
_cell_angle_alpha 90.00
_cell_angle_beta 90.00
_cell_angle_gamma 90.00
loop_
_atom_site_label
_atom_site_type_symbol
_atom_site_fract_x
_atom_site_fract_y
_atom_site_fract_z
Ga1 Ga 0.000 0.000 0.000
Ni1 Ni 0.000 0.500 0.500
B1 B 0.500 0.500 0.000
```

Energy of formation: 0.0915 eV per atom
E: -5.2252 eV/atom
Energy above the most stable polymorph in this dataset: 240 meV/atom
Fermi-level density of states: 2.33 states/eV per cell

=====

Record 10
An optimized crystal structure of GaNi2B2. Source: Alexandria via LeMat-Bulk, functional PBE-GGA.

The structure in CIF format:
```
data_GaNi2B2
_chemical_formula_sum 'Ga2 Ni4 B4'
_symmetry_space_group_name_H-M 'P 4/m b m'
_symmetry_Int_Tables_number 127
_symmetry_space_group_name_Hall '-P 4 2ab'
_cell_length_a 5.896
_cell_length_b 5.896
_cell_length_c 2.693
_cell_angle_alpha 90.00
_cell_angle_beta 90.00
_cell_angle_gamma 90.00
loop_
_atom_site_label
_atom_site_type_symbol
_atom_site_fract_x
_atom_site_fract_y
_atom_site_fract_z
Ga1 Ga 0.000 0.000 0.000
Ni1 Ni 0.201 0.299 0.500
B1 B 0.100 0.600 0.000
```

Energy of formation: -0.0061 eV per atom
E: -5.5950 eV/atom
Energy above the most stable polymorph in this dataset: 99 meV/atom
Fermi-level density of states: 2.92 states/eV per cell

=====

Record 11
An optimized crystal structure of GaNi2B. Source: Alexandria via LeMat-Bulk, functional PBE-GGA.

The structure in CIF format:
```
data_GaNi2B
_chemical_formula_sum 'Ga3 Ni6 B3'
_symmetry_space_group_name_H-M 'R -3 m'
_symmetry_Int_Tables_number 166
_symmetry_space_group_name_Hall '-R 3 2"'
_cell_length_a 2.9551
_cell_length_b 2.9551
_cell_length_c 17.7676
_cell_angle_alpha 90.00
_cell_angle_beta 90.00
_cell_angle_gamma 120.00
loop_
_atom_site_label
_atom_site_type_symbol
_atom_site_fract_x
_atom_site_fract_y
_atom_site_fract_z
Ga1 Ga 0.0000 0.0000 0.0000
Ni1 Ni 0.0000 0.0000 0.2235
B1 B 0.0000 0.0000 0.5000
```

Energy of formation: -0.1316 eV per atom
E: -5.4483 eV/atom
Energy above the most stable polymorph in this dataset: 17 meV/atom
Fermi-level density of states: 4.89 states/eV per cell

=====

Q: Which formula does entry 6 have?
A: Ga2Ni4B

=====

Q: Among the records above, which one has the highest Fermi-level density of states?
A: Nd2GaB3Rh12

=====

Q: Among the records above, which one has the highest E?
A: number 9

=====

Q: Which formula does entry 11 have?
A: GaNi2B